1.
## K2Pd5Au5 (PBE-GGA)

Data for a relaxed structure of K2Pd5Au5.

## Properties
energy: -3.84 eV per atom
space group: Pmmm, No. 47
formation energy from the elements: -130 meV/atom

a = 4.4958 Å, b = 5.6103 Å, c = 9.8501 Å
α = 90.00°, β = 90.00°, γ = 90.00°
Last column: nearest neighbours and their distance in Å.
Positions (direct):
K (0.0000, 0.0000, 0.0000)  10 Au 3.30-3.59, 8 Pd 3.63
K (0.0000, 0.5000, 0.5000)  6 Au 3.19-3.24
Pd (0.5000, 0.0000, 0.5000)  4 Au 2.77, 4 Pd 2.81
Pd (0.5000, 0.2496, 0.2524)  5 Au 2.75-2.86, 3 Pd 2.80-2.81
Pd (0.5000, 0.2496, 0.7476)  5 Au 2.75-2.86, 3 Pd 2.80-2.81
Pd (0.5000, 0.7504, 0.2524)  5 Au 2.75-2.86, 3 Pd 2.80-2.81
Pd (0.5000, 0.7504, 0.7476)  5 Au 2.75-2.86, 3 Pd 2.80-2.81
Au (0.0000, 0.0000, 0.3350)  6 Pd 2.77
Au (0.0000, 0.0000, 0.6650)  6 Pd 2.77
Au (0.0000, 0.5000, 0.1766)  4 Pd 2.75, 2 Au 2.84
Au (0.0000, 0.5000, 0.8234)  4 Pd 2.75, 2 Au 2.84
Au (0.5000, 0.5000, 0.0000)  4 Au 2.84, 4 Pd 2.86



2.
## KPd3Au (PBE-GGA)

Data for a relaxed structure of KPd3Au.

## Properties
energy above the most stable polymorph in this dataset: 0 meV per atom
energy: -3.47 eV per atom
space group: Pm-3m, No. 221
formation energy from the elements: 517 meV/atom

a = 5.1067 Å, b = 5.1067 Å, c = 5.1067 Å
α = 90.00°, β = 90.00°, γ = 90.00°
Last column: nearest neighbours and their distance in Å.
Positions (direct):
K (0.0000, 0.0000, 0.0000)  12 Pd 3.61
Pd (0.0000, 0.5000, 0.5000)  2 Au 2.55
Pd (0.5000, 0.0000, 0.5000)  2 Au 2.55
Pd (0.5000, 0.5000, 0.0000)  2 Au 2.55
Au (0.5000, 0.5000, 0.5000)  6 Pd 2.55



3.
## KPdAu2 (PBE-GGA)

Data for a relaxed structure of KPdAu2.

## Properties
energy above the most stable polymorph in this dataset: 0 meV per atom
energy: -3.20 eV per atom
space group: I4_1/amd, No. 141
formation energy from the elements: 11 meV/atom

a = 5.2958 Å, b = 5.2958 Å, c = 18.3622 Å
α = 90.00°, β = 90.00°, γ = 90.00°
Last column: nearest neighbours and their distance in Å.
Positions (direct):
K (0.0000, 0.2500, 0.3750)  4 Pd 3.74, 8 Au 3.75
K (0.0000, 0.7500, 0.6250)  4 Pd 3.74, 8 Au 3.75
K (0.5000, 0.2500, 0.1250)  4 Pd 3.74, 8 Au 3.75
K (0.5000, 0.7500, 0.8750)  4 Pd 3.74, 8 Au 3.75
Pd (0.0000, 0.2500, 0.8750)  4 Au 2.65
Pd (0.0000, 0.7500, 0.1250)  4 Au 2.65
Pd (0.5000, 0.2500, 0.6250)  4 Au 2.65
Pd (0.5000, 0.7500, 0.3750)  4 Au 2.65
Au (0.0000, 0.0000, 0.0000)  2 Au 2.65, 2 Pd 2.65
Au (0.0000, 0.5000, 0.0000)  2 Au 2.65, 2 Pd 2.65
Au (0.2500, 0.2500, 0.7500)  2 Au 2.65, 2 Pd 2.65
Au (0.2500, 0.7500, 0.2500)  2 Au 2.65, 2 Pd 2.65
Au (0.5000, 0.0000, 0.5000)  2 Au 2.65, 2 Pd 2.65
Au (0.5000, 0.5000, 0.5000)  2 Au 2.65, 2 Pd 2.65
Au (0.7500, 0.2500, 0.7500)  2 Au 2.65, 2 Pd 2.65
Au (0.7500, 0.7500, 0.2500)  2 Au 2.65, 2 Pd 2.65



4.
## KPdAu (PBE-GGA)

Data for a relaxed structure of KPdAu.

## Properties
energy above the most stable polymorph in this dataset: 186 meV per atom
energy: -3.25 eV per atom
space group: I4mm, No. 107
formation energy from the elements: -62 meV/atom

a = 3.7237 Å, b = 3.7237 Å, c = 11.3366 Å
α = 90.00°, β = 90.00°, γ = 90.00°
Last column: nearest neighbours and their distance in Å.
Positions (direct):
K (0.0000, 0.0000, 0.0000)  1 Pd 3.08, 1 Au 3.15
K (0.5000, 0.5000, 0.5000)  1 Pd 3.08, 1 Au 3.15
Pd (0.0000, 0.0000, 0.2719)  4 Au 2.69
Pd (0.5000, 0.5000, 0.7719)  4 Au 2.69
Au (0.0000, 0.0000, 0.7221)  4 Pd 2.69
Au (0.5000, 0.5000, 0.2221)  4 Pd 2.69



5.
## KPdAu (PBE-GGA)

Data for a relaxed structure of KPdAu.

## Properties
energy above the most stable polymorph in this dataset: 0 meV per atom
energy: -3.44 eV per atom
space group: Imma, No. 74
formation energy from the elements: -248 meV/atom

a = 5.7271 Å, b = 5.7280 Å, c = 8.0236 Å
α = 90.00°, β = 90.00°, γ = 90.00°
Last column: nearest neighbours and their distance in Å.
Positions (direct):
K (0.0000, 0.2500, 0.1277)  6 Pd 3.31-3.36, 6 Au 3.35, 4 K 3.47-3.52
K (0.0000, 0.7500, 0.8723)  6 Pd 3.31-3.36, 6 Au 3.35, 4 K 3.47-3.52
K (0.5000, 0.2500, 0.3723)  6 Pd 3.31-3.36, 6 Au 3.35, 4 K 3.47-3.52
K (0.5000, 0.7500, 0.6277)  6 Pd 3.31-3.36, 6 Au 3.35, 4 K 3.47-3.52
Pd (0.0000, 0.0000, 0.5000)  4 Au 2.85, 2 Pd 2.86
Pd (0.0000, 0.5000, 0.5000)  4 Au 2.85, 2 Pd 2.86
Pd (0.5000, 0.0000, 0.0000)  4 Au 2.85, 2 Pd 2.86
Pd (0.5000, 0.5000, 0.0000)  4 Au 2.85, 2 Pd 2.86
Au (0.2500, 0.2500, 0.7500)  4 Pd 2.85, 2 Au 2.86
Au (0.2500, 0.7500, 0.2500)  4 Pd 2.85, 2 Au 2.86
Au (0.7500, 0.2500, 0.7500)  4 Pd 2.85, 2 Au 2.86
Au (0.7500, 0.7500, 0.2500)  4 Pd 2.85, 2 Au 2.86



6.
## K2PdAu (PBE-GGA)

Data for a relaxed structure of K2PdAu.

## Properties
energy above the most stable polymorph in this dataset: 0 meV per atom
energy: -2.81 eV per atom
space group: Cmcm, No. 63
formation energy from the elements: -142 meV/atom

a = 9.8367 Å, b = 7.9960 Å, c = 5.7871 Å
α = 90.00°, β = 90.00°, γ = 90.00°
Last column: nearest neighbours and their distance in Å.
Positions (direct):
K (0.1798, 0.1593, 0.2500)  4 Au 3.32-3.43, 3 K 3.52-3.54, 4 Pd 3.56-3.69
K (0.1798, 0.8407, 0.7500)  4 Au 3.32-3.43, 3 K 3.52-3.54, 4 Pd 3.56-3.69
K (0.3202, 0.3407, 0.7500)  4 Au 3.32-3.43, 3 K 3.52-3.54, 4 Pd 3.56-3.69
K (0.3202, 0.6593, 0.2500)  4 Au 3.32-3.43, 3 K 3.52-3.54, 4 Pd 3.56-3.69
K (0.6798, 0.3407, 0.7500)  4 Au 3.32-3.43, 3 K 3.52-3.54, 4 Pd 3.56-3.69
K (0.6798, 0.6593, 0.2500)  4 Au 3.32-3.43, 3 K 3.52-3.54, 4 Pd 3.56-3.69
K (0.8202, 0.1593, 0.2500)  4 Au 3.32-3.43, 3 K 3.52-3.54, 4 Pd 3.56-3.69
K (0.8202, 0.8407, 0.7500)  4 Au 3.32-3.43, 3 K 3.52-3.54, 4 Pd 3.56-3.69
Pd (0.0000, 0.5000, 0.0000)  2 Au 2.74, 2 Pd 2.89
Pd (0.0000, 0.5000, 0.5000)  2 Au 2.74, 2 Pd 2.89
Pd (0.5000, 0.0000, 0.0000)  2 Au 2.74, 2 Pd 2.89
Pd (0.5000, 0.0000, 0.5000)  2 Au 2.74, 2 Pd 2.89
Au (0.0000, 0.2084, 0.7500)  2 Pd 2.74
Au (0.0000, 0.7916, 0.2500)  2 Pd 2.74
Au (0.5000, 0.2916, 0.2500)  2 Pd 2.74
Au (0.5000, 0.7084, 0.7500)  2 Pd 2.74



7.
## KPdAu2 (PBE-GGA)

Data for a relaxed structure of KPdAu2.

## Properties
energy above the most stable polymorph in this dataset: 160 meV per atom
energy: -3.04 eV per atom
space group: Fm-3m, No. 225
formation energy from the elements: 171 meV/atom

a = 6.9733 Å, b = 6.9733 Å, c = 6.9733 Å
α = 90.00°, β = 90.00°, γ = 90.00°
Last column: nearest neighbours and their distance in Å.
Positions (direct):
K (0.0000, 0.0000, 0.0000)  8 Au 3.02
K (0.0000, 0.5000, 0.5000)  8 Au 3.02
K (0.5000, 0.0000, 0.5000)  8 Au 3.02
K (0.5000, 0.5000, 0.0000)  8 Au 3.02
Pd (0.0000, 0.0000, 0.5000)  8 Au 3.02
Pd (0.0000, 0.5000, 0.0000)  8 Au 3.02
Pd (0.5000, 0.0000, 0.0000)  8 Au 3.02
Pd (0.5000, 0.5000, 0.5000)  8 Au 3.02
Au (0.2500, 0.2500, 0.2500)  4 K 3.02, 4 Pd 3.02
Au (0.2500, 0.2500, 0.7500)  4 Pd 3.02, 4 K 3.02
Au (0.2500, 0.7500, 0.2500)  4 Pd 3.02, 4 K 3.02
Au (0.2500, 0.7500, 0.7500)  4 K 3.02, 4 Pd 3.02
Au (0.7500, 0.2500, 0.2500)  4 Pd 3.02, 4 K 3.02
Au (0.7500, 0.2500, 0.7500)  4 K 3.02, 4 Pd 3.02
Au (0.7500, 0.7500, 0.2500)  4 K 3.02, 4 Pd 3.02
Au (0.7500, 0.7500, 0.7500)  4 Pd 3.02, 4 K 3.02



8.
## K2PdAu (PBE-GGA)

Data for a relaxed structure of K2PdAu.

## Properties
energy above the most stable polymorph in this dataset: 11 meV per atom
energy: -2.80 eV per atom
space group: R3m, No. 160
formation energy from the elements: -131 meV/atom

a = 4.6620 Å, b = 4.6620 Å, c = 24.6366 Å
α = 90.00°, β = 90.00°, γ = 120.00°
Last column: nearest neighbours and their distance in Å.
Positions (direct):
K (0.0000, 0.0000, 0.0000)  3 Pd 3.38, 3 Au 3.39
K (0.0000, 0.0000, 0.1666)  3 Au 3.38, 3 Pd 3.39
K (0.3333, 0.6667, 0.6667)  3 Pd 3.38, 3 Au 3.39
K (0.3333, 0.6667, 0.8333)  3 Au 3.38, 3 Pd 3.39
K (0.6667, 0.3333, 0.3333)  3 Pd 3.38, 3 Au 3.39
K (0.6667, 0.3333, 0.5000)  3 Au 3.38, 3 Pd 3.39
Pd (0.0000, 0.0000, 0.4166)  3 Au 2.69
Pd (0.3333, 0.6667, 0.0832)  3 Au 2.69
Pd (0.6667, 0.3333, 0.7499)  3 Au 2.69
Au (0.0000, 0.0000, 0.7500)  3 Pd 2.69
Au (0.3333, 0.6667, 0.4167)  3 Pd 2.69
Au (0.6667, 0.3333, 0.0834)  3 Pd 2.69



9.
## K2PdAu (PBE-GGA)

Data for a relaxed structure of K2PdAu.

## Properties
energy above the most stable polymorph in this dataset: 198 meV per atom
energy: -2.61 eV per atom
space group: I-42d, No. 122
formation energy from the elements: 56 meV/atom

a = 8.8736 Å, b = 8.8736 Å, c = 5.7923 Å
α = 90.00°, β = 90.00°, γ = 90.00°
Last column: nearest neighbours and their distance in Å.
Positions (direct):
K (0.2272, 0.2500, 0.1250)  2 K 2.92, 2 Pd 3.08
K (0.2500, 0.7272, 0.3750)  2 K 2.92, 2 Pd 3.08
K (0.2500, 0.7728, 0.8750)  2 K 2.92, 2 Pd 3.08
K (0.2728, 0.2500, 0.6250)  2 K 2.92, 2 Pd 3.08
K (0.7272, 0.7500, 0.6250)  2 K 2.92, 2 Pd 3.08
K (0.7500, 0.2272, 0.8750)  2 K 2.92, 2 Pd 3.08
K (0.7500, 0.2728, 0.3750)  2 K 2.92, 2 Pd 3.08
K (0.7728, 0.7500, 0.1250)  2 K 2.92, 2 Pd 3.08
Pd (0.0000, 0.0000, 0.0000)  2 Au 2.90, 4 K 3.08
Pd (0.0000, 0.5000, 0.2500)  2 Au 2.90, 4 K 3.08
Pd (0.5000, 0.0000, 0.7500)  2 Au 2.90, 4 K 3.08
Pd (0.5000, 0.5000, 0.5000)  2 Au 2.90, 4 K 3.08
Au (0.0000, 0.0000, 0.5000)  2 Pd 2.90
Au (0.0000, 0.5000, 0.7500)  2 Pd 2.90
Au (0.5000, 0.0000, 0.2500)  2 Pd 2.90
Au (0.5000, 0.5000, 0.0000)  2 Pd 2.90



10.
## KPdAu (PBE-GGA)

Data for a relaxed structure of KPdAu.

## Properties
energy above the most stable polymorph in this dataset: 201 meV per atom
energy: -3.24 eV per atom
space group: P-6m2, No. 187
formation energy from the elements: -47 meV/atom

a = 4.5195 Å, b = 4.5195 Å, c = 4.7983 Å
α = 90.00°, β = 90.00°, γ = 120.00°
Last column: nearest neighbours and their distance in Å.
Positions (direct):
K (0.0000, 0.0000, 0.0000)  6 Pd 3.54, 6 Au 3.54
Pd (0.3333, 0.6667, 0.5000)  3 Au 2.61
Au (0.6667, 0.3333, 0.5000)  3 Pd 2.61



11.
## K8PdAu2 (PBE-GGA)

Data for a relaxed structure of K8PdAu2.

## Properties
energy: -1.90 eV per atom
space group: Immm, No. 71
formation energy from the elements: -35 meV/atom

a = 9.9516 Å, b = 9.9516 Å, c = 9.9516 Å
α = 147.35°, β = 123.53°, γ = 66.77°
Last column: nearest neighbours and their distance in Å.
Positions (direct):
K (0.1200, 0.3425, 0.7776)  3 Au 3.54-3.62, 1 Pd 3.70, 4 K 3.84
K (0.1388, 0.1388, 0.0000)  2 Pd 3.63, 8 K 3.74-3.98, 2 Au 3.97
K (0.3124, 0.0000, 0.3124)  7 K 3.53-3.84, 2 Au 3.65
K (0.4351, 0.6575, 0.7776)  3 Au 3.54-3.62, 1 Pd 3.70, 4 K 3.84
K (0.5649, 0.3425, 0.2224)  3 Au 3.54-3.62, 1 Pd 3.70, 4 K 3.84
K (0.6876, 0.0000, 0.6876)  7 K 3.53-3.84, 2 Au 3.65
K (0.8612, 0.8612, 0.0000)  2 Pd 3.63, 8 K 3.74-3.98, 2 Au 3.97
K (0.8800, 0.6575, 0.2224)  3 Au 3.54-3.62, 1 Pd 3.70, 4 K 3.84
Pd (0.0000, 0.5000, 0.5000)  12 K 3.63-4.06
Au (0.3079, 0.8079, 0.5000)  10 K 3.54-3.97
Au (0.6921, 0.1921, 0.5000)  10 K 3.54-3.97



12.
## KPdAu4 (PBE-GGA)

Data for a relaxed structure of KPdAu4.

## Properties
energy: -3.27 eV per atom
space group: F-43m, No. 216
formation energy from the elements: -41 meV/atom

a = 5.5990 Å, b = 5.5990 Å, c = 5.5990 Å
α = 60.00°, β = 60.00°, γ = 60.00°
Last column: nearest neighbours and their distance in Å.
Positions (direct):
K (0.0000, 0.0000, 0.0000)  12 Au 3.28, 4 Pd 3.43
Pd (0.7500, 0.7500, 0.7500)  12 Au 3.28, 4 K 3.43
Au (0.3753, 0.3753, 0.3753)  6 Au 2.79-2.81
Au (0.3753, 0.3753, 0.8741)  6 Au 2.79-2.81
Au (0.3753, 0.8741, 0.3753)  6 Au 2.79-2.81
Au (0.8741, 0.3753, 0.3753)  6 Au 2.79-2.81



Among the records above, which one has the highest energy?
K8PdAu2



Which of these has the highest energy?
K8PdAu2



What is the energy in the tenth record?
-3.24 eV per atom



Among the records above, which one has the lowest formation energy from the elements?
number 5